Entry 1:
The following is a PBE-GGA calculation of PrErRh after structural relaxation, from Alexandria via LeMat-Bulk.

## Properties
The density of states at the Fermi level is 2.74 states/eV/cell. The formation enthalpy at 0 K comes out at -468 meV per atom. The calculation puts the total energy at -6.033 eV/atom. As for the distance to the lowest polymorph of the same formula: 0.118 eV/atom. For the magnetization, the calculation gives 0.0 μB per cell.

Lattice parameters (Å, degrees): 6.2490 4.0841 4.0841 120.00 90.00 90.00
Closest atoms and distances in Å follow each position.
Element x y z (fractional)
Pr 0.7548 0.6667 0.3333  3 Rh 2.85
Rh 0.0119 0.0000 0.0000  3 Er 2.73, 3 Pr 2.85
Er 0.2333 0.3333 0.6667  3 Rh 2.73


Entry 2:
The following is a PBE-GGA calculation of AgPd8Pb2 after structural relaxation, from Alexandria via LeMat-Bulk.

## Properties
The density of states at the Fermi level is 6.55 states/eV/cell. The formation enthalpy at 0 K comes out at -143 meV per atom. The calculation puts the total energy at -4.853 eV/atom. As for the distance to the lowest polymorph of the same formula: 0.011 eV/atom. For the magnetization, the calculation gives 0.0 μB per cell.

Lattice parameters (Å, degrees): 4.1672 6.5696 7.6120 108.37 105.89 90.00
Closest atoms and distances in Å follow each position.
Element x y z (fractional)
Ag 0.5000 0.0000 0.0000  12 Pd 2.78-2.92
Pd 0.4102 0.5438 0.8203  8 Pd 2.78-3.01, 2 Pb 2.82, 1 Ag 2.85
Pd 0.6729 0.9116 0.3459  3 Pb 2.72-2.83, 1 Ag 2.78, 8 Pd 2.84-3.02
Pd 0.8583 0.8041 0.7166  7 Pd 2.81-3.02, 3 Pb 2.88-2.91, 2 Ag 2.92
Pd 0.9638 0.2720 0.9275  9 Pd 2.78-3.01, 1 Pb 2.79, 2 Ag 2.90
Pd 0.1417 0.1959 0.2834  7 Pd 2.81-3.02, 3 Pb 2.88-2.91, 2 Ag 2.92
Pd 0.3271 0.0884 0.6541  3 Pb 2.72-2.83, 1 Ag 2.78, 8 Pd 2.84-3.02
Pd 0.5898 0.4562 0.1797  8 Pd 2.78-3.01, 2 Pb 2.82, 1 Ag 2.85
Pd 0.0362 0.7280 0.0725  9 Pd 2.78-3.01, 1 Pb 2.79, 2 Ag 2.90
Pb 0.7843 0.3349 0.5685  9 Pd 2.72-2.91
Pb 0.2157 0.6651 0.4315  9 Pd 2.72-2.91


Entry 3:
The following is a PBE-GGA calculation of Tl2NiAgH after structural relaxation, from Alexandria via LeMat-Bulk.

## Properties
The density of states at the Fermi level is 1.58 states/eV/cell. The calculation puts the total energy at -3.105 eV/atom. For the magnetization, the calculation gives 0.0 μB per cell.

Lattice parameters (Å, degrees): 5.4007 3.2309 5.4007 90.00 90.00 90.00
Closest atoms and distances in Å follow each position.
Element x y z (fractional)
Ni 0.0000 0.0000 0.0000  2 H 1.62
Tl 0.0000 0.0000 0.5000  2 Ni 2.70
Tl 0.5000 0.0000 0.0000  2 Ni 2.70
Ag 0.5000 0.5000 0.5000  8 Tl 3.15, 2 Ag 3.23
H 0.0000 0.5000 0.0000  2 Ni 1.62


Entry 4:
The following is a PBE-GGA calculation of BaLa2Pt2 after structural relaxation, from Alexandria via LeMat-Bulk.

## Properties
The density of states at the Fermi level is 8.71 states/eV/cell. The formation enthalpy at 0 K comes out at -797 meV per atom. The calculation puts the total energy at -5.568 eV/atom. As for the distance to the lowest polymorph of the same formula: 0.012 eV/atom. For the magnetization, the calculation gives 0.0 μB per cell.

Lattice parameters (Å, degrees): 5.1623 5.1623 6.8284 67.79 67.79 90.00
Closest atoms and distances in Å follow each position.
Element x y z (fractional)
Ba 0.0000 0.0000 0.0000  8 La 3.87, 8 Pt 3.90
Pt 0.3805 0.3805 0.2389  1 Pt 2.76, 4 La 2.99
Pt 0.6195 0.6195 0.7611  1 Pt 2.76, 4 La 2.99
La 0.7500 0.2500 0.5000  4 Pt 2.99
La 0.2500 0.7500 0.5000  4 Pt 2.99


- magnetization of number 1 (PrErRh)?
  0.0 μB per cell


- Which value of magnetization does entry 4 give?
  0.0 μB per cell


- What is the formula in the third record?
  Tl2NiAgH